# 1
Entry from the Alexandria database: crystalline MnBS2Cl at its relaxed geometry (PBEsol).

abc: 4.4542 4.4542 4.6652
angles: 90.00 90.00 90.00
With the nearest neighbours (Å) after each atom.
Fractional coordinates of all 5 atoms:
Mn  0.0000  0.0000  0.0000  4 S 2.23, 2 Cl 2.33
B  0.5000  0.5000  0.5000  4 Cl 3.15, 8 S 3.23
S  0.0000  0.5000  0.0000  2 Mn 2.23
S  0.5000  0.0000  0.0000  2 Mn 2.23
Cl  0.0000  0.0000  0.5000  2 Mn 2.33

## Properties
Raw formation energy in meV/atom: 799
Space group: P4/mmm
DOS at the Fermi energy in states/eV/f.u.: 3.34
Density in Mg/m³: 2.97

=====

# 2
Entry from the Alexandria database: crystalline MnTcBCl2 at its relaxed geometry (PBEsol).

abc: 4.7834 4.7834 3.9741
angles: 90.00 90.00 90.00
With the nearest neighbours (Å) after each atom.
Fractional coordinates of all 5 atoms:
Mn  0.0000  0.0000  0.0000  8 Cl 3.11, 4 B 3.38
Tc  0.5000  0.5000  0.5000  2 B 1.99
B  0.5000  0.5000  0.0000  2 Tc 1.99
Cl  0.0000  0.5000  0.5000  2 Tc 2.39
Cl  0.5000  0.0000  0.5000  2 Tc 2.39

## Properties
Raw formation energy in meV/atom: 838
Space group: P4/mmm
DOS at the Fermi energy in states/eV/f.u.: 3.42
Density in Mg/m³: 4.29

=====

# 3
Entry from the Alexandria database: crystalline B2MoCl at its relaxed geometry (PBEsol).

abc: 3.9699 3.9699 3.9699
angles: 60.00 60.00 60.00
With the nearest neighbours (Å) after each atom.
Fractional coordinates of all 4 atoms:
B  0.2500  0.2500  0.2500  4 Cl 2.43, 4 Mo 2.43
B  0.7500  0.7500  0.7500  4 Cl 2.43, 4 Mo 2.43
Mo  0.0000  0.0000  0.0000  8 B 2.43
Cl  0.5000  0.5000  0.5000  8 B 2.43

## Properties
Raw formation energy in meV/atom: 1722
Space group: Fm-3m
DOS at the Fermi energy in states/eV/f.u.: 2.23
Density in Mg/m³: 5.74

=====

# 4
Entry from the Alexandria database: crystalline BMoS2Cl at its relaxed geometry (PBEsol).

abc: 4.5713 4.5713 4.8597
angles: 90.00 90.00 90.00
With the nearest neighbours (Å) after each atom.
Fractional coordinates of all 5 atoms:
B  0.0000  0.0000  0.0000  4 Cl 3.23, 8 S 3.34
Mo  0.5000  0.5000  0.5000  4 S 2.29, 2 Cl 2.43
S  0.0000  0.5000  0.5000  2 Mo 2.29
S  0.5000  0.0000  0.5000  2 Mo 2.29
Cl  0.5000  0.5000  0.0000  2 Mo 2.43

## Properties
Raw formation energy in meV/atom: 773
Space group: P4/mmm
DOS at the Fermi energy in states/eV/f.u.: 3.63
Density in Mg/m³: 3.37

=====

# 5
Entry from the Alexandria database: crystalline ScB2MoCl at its relaxed geometry (PBEsol).

abc: 4.2458 4.2458 4.5936
angles: 90.00 90.00 90.00
With the nearest neighbours (Å) after each atom.
Fractional coordinates of all 5 atoms:
Sc  0.0000  0.0000  0.0000  4 B 2.12, 2 Cl 2.30
B  0.0000  0.5000  0.0000  2 Sc 2.12
B  0.5000  0.0000  0.0000  2 Sc 2.12
Mo  0.5000  0.5000  0.5000  4 Cl 3.00, 8 B 3.13
Cl  0.0000  0.0000  0.5000  2 Sc 2.30

## Properties
Raw formation energy in meV/atom: 1651
Space group: P4/mmm
DOS at the Fermi energy in states/eV/f.u.: 3.21
Density in Mg/m³: 3.97

=====

# 6
Entry from the Alexandria database: crystalline Sr2BN2Cl at its relaxed geometry (PBEsol).

abc: 12.3169 4.1445 9.1789
angles: 90.00 90.00 90.00
With the nearest neighbours (Å) after each atom.
Fractional coordinates of all 24 atoms:
Sr  0.0867  0.2500  0.1186  4 N 2.55-2.69
Sr  0.1702  0.2500  0.5594  3 N 2.49-2.70
Sr  0.3298  0.7500  0.0594  3 N 2.49-2.70
Sr  0.4133  0.7500  0.6186  4 N 2.55-2.69
Sr  0.5867  0.2500  0.3814  4 N 2.55-2.69
Sr  0.6702  0.2500  0.9406  3 N 2.49-2.70
Sr  0.8298  0.7500  0.4406  3 N 2.49-2.70
Sr  0.9133  0.7500  0.8814  4 N 2.55-2.69
B  0.1663  0.7500  0.8290  2 N 1.34-1.35
B  0.3337  0.2500  0.3290  2 N 1.34-1.35
B  0.6663  0.7500  0.6710  2 N 1.34-1.35
B  0.8337  0.2500  0.1710  2 N 1.34-1.35
N  0.1225  0.7500  0.9644  1 B 1.35
N  0.2148  0.7500  0.6981  1 B 1.34
N  0.2852  0.2500  0.1981  1 B 1.34
N  0.3775  0.2500  0.4644  1 B 1.35
N  0.6225  0.7500  0.5356  1 B 1.35
N  0.7148  0.7500  0.8019  1 B 1.34
N  0.7852  0.2500  0.3019  1 B 1.34
N  0.8775  0.2500  0.0356  1 B 1.35
Cl  0.0626  0.7500  0.3558  5 Sr 2.97-3.09
Cl  0.4374  0.2500  0.8558  5 Sr 2.97-3.09
Cl  0.5626  0.7500  0.1442  5 Sr 2.97-3.09
Cl  0.9374  0.2500  0.6442  5 Sr 2.97-3.09

## Properties
Raw formation energy in meV/atom: -1534
Space group: Pnma
DOS at the Fermi energy in states/eV/f.u.: 0.00
Density in Mg/m³: 3.54

=====

# 7
Entry from the Alexandria database: crystalline BTeN2Cl at its relaxed geometry (PBEsol).

abc: 3.6811 3.6811 4.0339
angles: 90.00 90.00 90.00
With the nearest neighbours (Å) after each atom.
Fractional coordinates of all 5 atoms:
B  0.0000  0.0000  0.0000  4 N 1.84, 2 Cl 2.02
Te  0.5000  0.5000  0.5000  4 Cl 2.60, 8 N 2.73
N  0.0000  0.5000  0.0000  2 B 1.84
N  0.5000  0.0000  0.0000  2 B 1.84
Cl  0.0000  0.0000  0.5000  2 B 2.02

## Properties
Raw formation energy in meV/atom: 1353
Space group: P4/mmm
DOS at the Fermi energy in states/eV/f.u.: 2.19
Density in Mg/m³: 6.13

=====

# 8
Entry from the Alexandria database: crystalline RbNa2B6ClO10 at its relaxed geometry (PBEsol).

abc: 8.3496 9.6659 12.7831
angles: 90.00 90.00 90.00
With the nearest neighbours (Å) after each atom.
Fractional coordinates of all 80 atoms:
Rb  0.0287  0.2472  0.2659  4 O 2.95-3.11, 2 Cl 3.18-3.21
Rb  0.4713  0.7528  0.7659  4 O 2.95-3.11, 2 Cl 3.18-3.21
Rb  0.5287  0.2528  0.7341  4 O 2.95-3.11, 2 Cl 3.18-3.21
Rb  0.9713  0.7472  0.2341  4 O 2.95-3.11, 2 Cl 3.18-3.21
Na  0.0532  0.2905  0.7595  3 O 2.29-2.51
Na  0.2396  0.4952  0.0325  4 O 2.49-2.63
Na  0.2604  0.5048  0.5325  4 O 2.49-2.63
Na  0.4468  0.7095  0.2595  3 O 2.29-2.51
Na  0.5532  0.2095  0.2405  3 O 2.29-2.51
Na  0.7396  0.0048  0.9675  4 O 2.49-2.63
Na  0.7604  0.9952  0.4675  4 O 2.49-2.63
Na  0.9468  0.7905  0.7405  3 O 2.29-2.51
B  0.0388  0.2349  0.9885  3 O 1.36-1.38
B  0.0445  0.7611  0.9773  3 O 1.36-1.38
B  0.1155  0.0010  0.9228  4 O 1.44-1.52
B  0.2017  0.0053  0.7288  3 O 1.36-1.37
B  0.2106  0.8676  0.5620  4 O 1.44-1.53
B  0.2131  0.1359  0.5612  4 O 1.44-1.52
B  0.2869  0.8641  0.0612  4 O 1.44-1.52
B  0.2894  0.1324  0.0620  4 O 1.44-1.53
B  0.2983  0.9947  0.2288  3 O 1.36-1.37
B  0.3845  0.9990  0.4228  4 O 1.44-1.52
B  0.4555  0.2389  0.4773  3 O 1.36-1.38
B  0.4612  0.7651  0.4885  3 O 1.36-1.38
B  0.5388  0.2651  0.0115  3 O 1.36-1.38
B  0.5445  0.7389  0.0227  3 O 1.36-1.38
B  0.6155  0.4990  0.0772  4 O 1.44-1.52
B  0.7017  0.4947  0.2712  3 O 1.36-1.37
B  0.7106  0.6324  0.4380  4 O 1.44-1.53
B  0.7131  0.3641  0.4388  4 O 1.44-1.52
B  0.7869  0.6359  0.9388  4 O 1.44-1.52
B  0.7894  0.3676  0.9380  4 O 1.44-1.53
B  0.7983  0.5053  0.7712  3 O 1.36-1.37
B  0.8845  0.5010  0.5772  4 O 1.44-1.52
B  0.9555  0.2611  0.5227  3 O 1.36-1.38
B  0.9612  0.7349  0.5115  3 O 1.36-1.38
Cl  0.2251  0.5217  0.3150  2 Na 2.69-2.80
Cl  0.2749  0.4783  0.8150  2 Na 2.69-2.80
Cl  0.7251  0.9783  0.6850  2 Na 2.69-2.80
Cl  0.7749  0.0217  0.1850  2 Na 2.69-2.80
O  0.0093  0.8787  0.9208  2 B 1.38-1.48
O  0.0106  0.1231  0.9243  2 B 1.38-1.47
O  0.0552  0.1503  0.5171  2 B 1.36-1.44
O  0.0625  0.8448  0.5067  2 B 1.36-1.44
O  0.1743  0.2444  0.0492  2 B 1.38-1.46
O  0.1831  0.7491  0.0342  2 B 1.37-1.45
O  0.1837  0.8829  0.6755  2 B 1.37-1.47
O  0.2090  0.1290  0.6765  2 B 1.37-1.48
O  0.2140  0.9985  0.0224  3 B 1.52-1.53
O  0.2224  0.0029  0.8344  2 B 1.36-1.44
O  0.2776  0.9971  0.3344  2 B 1.36-1.44
O  0.2860  0.0015  0.5224  3 B 1.52-1.53
O  0.2910  0.8710  0.1765  2 B 1.37-1.48
O  0.3163  0.1171  0.1755  2 B 1.37-1.47
O  0.3169  0.2509  0.5342  2 B 1.37-1.45
O  0.3257  0.7556  0.5492  2 B 1.38-1.46
O  0.4375  0.1552  0.0067  2 B 1.36-1.44
O  0.4448  0.8497  0.0171  2 B 1.36-1.44
O  0.4894  0.8769  0.4243  2 B 1.38-1.47
O  0.4907  0.1213  0.4208  2 B 1.38-1.48
O  0.5093  0.6213  0.0792  2 B 1.38-1.48
O  0.5106  0.3769  0.0757  2 B 1.38-1.47
O  0.5552  0.3497  0.4829  2 B 1.36-1.44
O  0.5625  0.6552  0.4933  2 B 1.36-1.44
O  0.6743  0.2556  0.9508  2 B 1.38-1.46
O  0.6831  0.7509  0.9658  2 B 1.37-1.45
O  0.6837  0.6171  0.3245  2 B 1.37-1.47
O  0.7090  0.3710  0.3235  2 B 1.37-1.48
O  0.7140  0.5015  0.9776  3 B 1.52-1.53
O  0.7224  0.4971  0.1656  2 B 1.36-1.44
O  0.7776  0.5029  0.6656  2 B 1.36-1.44
O  0.7860  0.4985  0.4776  3 B 1.52-1.53
O  0.7910  0.6290  0.8235  2 B 1.37-1.48
O  0.8163  0.3829  0.8245  2 B 1.37-1.47
O  0.8169  0.2491  0.4658  2 B 1.37-1.45
O  0.8257  0.7444  0.4508  2 B 1.38-1.46
O  0.9375  0.3448  0.9933  2 B 1.36-1.44
O  0.9448  0.6503  0.9829  2 B 1.36-1.44
O  0.9894  0.6231  0.5757  2 B 1.38-1.47
O  0.9907  0.3787  0.5792  2 B 1.38-1.48

## Properties
Raw formation energy in meV/atom: -2374
Space group: P2_12_12_1
DOS at the Fermi energy in states/eV/f.u.: 0.00
Density in Mg/m³: 2.52